An optimized crystal structure of Ce2CoCu2Ni5. Source: the Alexandria database, functional PBE.

Geometry as extended XYZ:
```
20
Lattice="3.7114 0.0000 0.0000 0.0000 8.8655 0.0000 0.0000 0.0000 8.8655" Properties=species:S:1:pos:R:3 pbc="T T T"
Ni 1.8557 0.0000 4.4328
Ni 1.8557 2.6539 4.9072
Ni 1.8557 4.4328 0.0000
Ni 1.8557 3.9583 2.6539
Ni 1.8557 8.3911 1.7789
Ni 1.8557 0.4744 7.0867
Ni 1.8557 1.7789 0.4744
Ni 1.8557 7.0867 8.3911
Ni 1.8557 6.2117 3.9583
Ni 1.8557 4.9072 6.2117
Ce 0.0000 7.2248 6.0735
Ce 0.0000 1.6408 2.7920
Ce 0.0000 2.7920 7.2248
Ce 0.0000 6.0735 1.6408
Co 0.0000 0.0000 0.0000
Co 0.0000 4.4328 4.4328
Cu 0.0000 1.0143 5.4471
Cu 0.0000 5.4471 7.8512
Cu 0.0000 3.4185 1.0143
Cu 0.0000 7.8512 3.4185
```

Summary:
Mass density   8649 kg/m3
SG   P4/mbm
DOS(E_F)   0.90 states/eV/atom
Energy of formation from the pure elements   -91 meV per atom
Calculated volume   14.59 A^3/atom
Raw total energy   -113.97 eV per cell